! La2IN, relaxed, DFT PBE; values from VASP
&SYSTEM
  ibrav = 0, nat = 8, ntyp = 3
/
ATOMIC_SPECIES
La 138.91 La.upf
I 126.90 I.upf
N 14.01 N.upf
CELL_PARAMETERS angstrom
-5.013 -2.587 3.922
4.312 -0.255 5.343
-1.808 3.545 6.045
ATOMIC_POSITIONS angstrom
La -2.423 0.199 12.078
La 1.088 0.131 5.754
La -1.165 1.566 8.571
La -2.518 -0.490 4.217
I -3.586 -0.231 7.300
I 0.000 0.000 0.000
N -0.350 -1.421 4.632
N 1.077 0.935 8.010
! Magnetic moment, Bohr magnetons per cell: 0.00
! Formation energy without anion corrections, eV per atom: -1.023
! SG: No. 122
! Total energy, eV per cell: -47.6